Hf2MnTcAg | SCAN | single point on PBEsol structure

Calculated values
E_tot: -41.261 eV/atom
space group: P4/mmm (123)

Cell lengths 4.7661, 4.7661, 5.0698 Å; angles 90.00, 90.00, 90.00 degrees
Fractional coordinates of all 5 atoms:
Mn  0.5000  0.5000  0.5000
Hf  0.0000  0.5000  0.0000
Hf  0.5000  0.0000  0.0000
Tc  0.0000  0.0000  0.0000
Ag  0.0000  0.0000  0.5000

=====

HfAg3Mo | SCAN | single point on PBEsol structure

Calculated values
E_tot: -36.540 eV/atom
space group: Pm-3m (221)

Cell lengths 4.9939, 4.9939, 4.9939 Å; angles 90.00, 90.00, 90.00 degrees
Fractional coordinates of all 5 atoms:
Mo  0.5000  0.5000  0.5000
Hf  0.0000  0.0000  0.0000
Ag  0.0000  0.5000  0.0000
Ag  0.0000  0.0000  0.5000
Ag  0.5000  0.0000  0.0000

=====

Calculated values (meV per atom) of energy of formation for the records, taken in order: 744 1792.